First-principles (PBE) data for an optimized crystal structure of LaPuTlRh, as listed in Alexandria.

```
data_LaPuTlRh
_chemical_formula_sum 'La1 Pu1 Tl1 Rh1'
_space_group_name_H-M_alt 'P 4 m m'
_space_group_IT_number 99
_space_group_name_Hall 'P 4 -2'
_cell_length_a 3.327
_cell_length_b 3.327
_cell_length_c 8.667
_cell_angle_alpha 90.00
_cell_angle_beta 90.00
_cell_angle_gamma 90.00
loop_
_atom_site_label
_atom_site_type_symbol
_atom_site_fract_x
_atom_site_fract_y
_atom_site_fract_z
La1 La 0.000 0.000 0.000
Pu1 Pu 0.000 0.000 0.579
Tl1 Tl 0.500 0.500 0.302
Rh1 Rh 0.500 0.500 0.754
```

Values from the calculation:
Size of the total moment, Bohr magnetons per cell: 0.03
DFT formation energy, eV/atom: 0.14
Fermi-level density of states, states/eV/f.u.: 12.550



First-principles (PBE) data for an optimized crystal structure of LaPuRu, as listed in Alexandria.

```
data_LaPuRu
_chemical_formula_sum 'La4 Pu4 Ru4'
_space_group_name_H-M_alt 'P 1 21/c 1'
_space_group_IT_number 14
_space_group_name_Hall '-P 2ybc'
_cell_length_a 6.261
_cell_length_b 7.237
_cell_length_c 7.536
_cell_angle_alpha 90.00
_cell_angle_beta 115.46
_cell_angle_gamma 90.00
loop_
_atom_site_label
_atom_site_type_symbol
_atom_site_fract_x
_atom_site_fract_y
_atom_site_fract_z
La1 La 0.236 0.158 0.420
Pu1 Pu 0.246 0.658 0.575
Ru1 Ru 0.343 0.553 0.292
```

Values from the calculation:
Size of the total moment, Bohr magnetons per cell: 21.07
Offset from the most stable computed form, eV per atom: 0.006
DFT formation energy, eV/atom: -0.12
Fermi-level density of states, states/eV/f.u.: 5.787



First-principles (PBE) data for an optimized crystal structure of LaPu2Ru, as listed in Alexandria.

```
data_LaPu2Ru
_chemical_formula_sum 'La1 Pu2 Ru1'
_space_group_name_H-M_alt 'P 4/m m m'
_space_group_IT_number 123
_space_group_name_Hall '-P 4 2'
_cell_length_a 3.545
_cell_length_b 3.545
_cell_length_c 7.728
_cell_angle_alpha 90.00
_cell_angle_beta 90.00
_cell_angle_gamma 90.00
loop_
_atom_site_label
_atom_site_type_symbol
_atom_site_fract_x
_atom_site_fract_y
_atom_site_fract_z
La1 La 0.000 0.000 0.000
Pu1 Pu 0.500 0.500 0.303
Ru1 Ru 0.000 0.000 0.500
```

Values from the calculation:
Size of the total moment, Bohr magnetons per cell: 10.62
Offset from the most stable computed form, eV per atom: 0.078
DFT formation energy, eV/atom: 0.01
Fermi-level density of states, states/eV/f.u.: 12.907



First-principles (PBE) data for an optimized crystal structure of La3PuRu8, as listed in Alexandria.

```
data_La3PuRu8
_chemical_formula_sum 'La9 Pu3 Ru24'
_space_group_name_H-M_alt 'R 3 m'
_space_group_IT_number 160
_space_group_name_Hall 'R 3 -2"'
_cell_length_a 5.4000
_cell_length_b 5.4000
_cell_length_c 26.7592
_cell_angle_alpha 90.00
_cell_angle_beta 90.00
_cell_angle_gamma 120.00
loop_
_atom_site_label
_atom_site_type_symbol
_atom_site_fract_x
_atom_site_fract_y
_atom_site_fract_z
La1 La 0.0000 0.0000 0.0000
La2 La 0.0000 0.0000 0.1248
La3 La 0.0000 0.0000 0.4990
Pu1 Pu 0.0000 0.0000 0.6234
Ru1 Ru 0.0000 0.0000 0.3099
Ru2 Ru 0.0000 0.0000 0.8105
Ru3 Ru 0.0059 0.5029 0.5637
Ru4 Ru 0.1683 0.3366 0.3926
```

Values from the calculation:
Size of the total moment, Bohr magnetons per cell: 9.46
DFT formation energy, eV/atom: -0.12
Fermi-level density of states, states/eV/f.u.: 15.992



First-principles (PBE) data for an optimized crystal structure of LaPuRu, as listed in Alexandria.

```
data_LaPuRu
_chemical_formula_sum 'La1 Pu1 Ru1'
_space_group_name_H-M_alt 'P -6 m 2'
_space_group_IT_number 187
_space_group_name_Hall 'P -6 2'
_cell_length_a 4.4386
_cell_length_b 4.4386
_cell_length_c 4.5191
_cell_angle_alpha 90.00
_cell_angle_beta 90.00
_cell_angle_gamma 120.00
loop_
_atom_site_label
_atom_site_type_symbol
_atom_site_fract_x
_atom_site_fract_y
_atom_site_fract_z
La1 La 0.0000 0.0000 0.0000
Pu1 Pu 0.6667 0.3333 0.5000
Ru1 Ru 0.3333 0.6667 0.5000
```

Values from the calculation:
Size of the total moment, Bohr magnetons per cell: 5.16
Offset from the most stable computed form, eV per atom: 0.080
DFT formation energy, eV/atom: -0.05
Fermi-level density of states, states/eV/f.u.: 5.813



First-principles (PBE) data for an optimized crystal structure of La3PuRu, as listed in Alexandria.

```
data_La3PuRu
_chemical_formula_sum 'La3 Pu1 Ru1'
_space_group_name_H-M_alt 'P m -3 m'
_space_group_IT_number 221
_space_group_name_Hall '-P 4 2 3'
_cell_length_a 5.573
_cell_length_b 5.573
_cell_length_c 5.573
_cell_angle_alpha 90.00
_cell_angle_beta 90.00
_cell_angle_gamma 90.00
loop_
_atom_site_label
_atom_site_type_symbol
_atom_site_fract_x
_atom_site_fract_y
_atom_site_fract_z
La1 La 0.000 0.000 0.500
Pu1 Pu 0.500 0.500 0.500
Ru1 Ru 0.000 0.000 0.000
```

Values from the calculation:
Size of the total moment, Bohr magnetons per cell: 7.14
DFT formation energy, eV/atom: 0.06
Fermi-level density of states, states/eV/f.u.: 19.379



First-principles (PBE) data for an optimized crystal structure of LaPu3Ru3, as listed in Alexandria.

```
data_LaPu3Ru3
_chemical_formula_sum 'La2 Pu6 Ru6'
_space_group_name_H-M_alt 'P m -3 n'
_space_group_IT_number 223
_space_group_name_Hall '-P 4n 2 3'
_cell_length_a 7.225
_cell_length_b 7.225
_cell_length_c 7.225
_cell_angle_alpha 90.00
_cell_angle_beta 90.00
_cell_angle_gamma 90.00
loop_
_atom_site_label
_atom_site_type_symbol
_atom_site_fract_x
_atom_site_fract_y
_atom_site_fract_z
La1 La 0.000 0.000 0.000
Pu1 Pu 0.000 0.250 0.500
Ru1 Ru 0.000 0.500 0.250
```

Values from the calculation:
Size of the total moment, Bohr magnetons per cell: 28.77
DFT formation energy, eV/atom: 0.40
Fermi-level density of states, states/eV/f.u.: 14.012



First-principles (PBE) data for an optimized crystal structure of LaPu2Ru, as listed in Alexandria.

```
data_LaPu2Ru
_chemical_formula_sum 'La8 Pu16 Ru8'
_space_group_name_H-M_alt 'P n m a'
_space_group_IT_number 62
_space_group_name_Hall '-P 2ac 2n'
_cell_length_a 14.705
_cell_length_b 9.320
_cell_length_c 6.102
_cell_angle_alpha 90.00
_cell_angle_beta 90.00
_cell_angle_gamma 90.00
loop_
_atom_site_label
_atom_site_type_symbol
_atom_site_fract_x
_atom_site_fract_y
_atom_site_fract_z
La1 La 0.107 0.250 0.237
La2 La 0.143 0.750 0.966
Pu1 Pu 0.037 0.059 0.741
Pu2 Pu 0.213 0.561 0.448
Ru1 Ru 0.073 0.750 0.484
Ru2 Ru 0.177 0.250 0.727
```

Values from the calculation:
Size of the total moment, Bohr magnetons per cell: 91.29
Offset from the most stable computed form, eV per atom: 0.000
DFT formation energy, eV/atom: -0.07
Fermi-level density of states, states/eV/f.u.: 13.247



- Which of these has the highest Fermi-level density of states?
  La3PuRu



- Look up the DFT formation energy of the fourth one.
  -0.12 eV/atom